Compound: YPt2W
Source: Alexandria via LeMat-Bulk
Functional: PBE
Structure: optimized geometry

POSCAR file:
```
YPt2W
1.0
1.466 0.847 9.589
-1.466 0.847 9.589
0.000 -1.693 9.589
Y Pt W
1 2 1
Direct
0.000 0.000 0.000
0.244 0.244 0.244
0.756 0.756 0.756
0.500 0.500 0.500
```

Summary:
**Fermi-level density of states**: 5.46 states/eV/cell
**Energy relative to the elements**: -0.006 eV/atom
**Energy above the lowest structure with this stoichiometry**: 39.8 kJ per mole of atoms
**SG**: R-3m
**Electronic total energy**: -0.57925 Ry per atom
**Magnetization**: 0.00 μB per formula unit

=====

Compound: YPt2W
Source: Alexandria via LeMat-Bulk
Functional: PBE
Structure: optimized geometry

POSCAR file:
```
YPt2W
1.0
5.005 0.000 0.000
0.000 5.005 0.000
0.000 0.000 2.879
Y Pt W
1 2 1
Direct
0.000 0.000 0.000
0.000 0.500 0.500
0.500 0.000 0.500
0.500 0.500 0.000
```

Summary:
**Fermi-level density of states**: 3.92 states/eV/cell
**Energy relative to the elements**: -0.343 eV/atom
**Energy above the lowest structure with this stoichiometry**: 7.2 kJ per mole of atoms
**SG**: P4/mmm
**Electronic total energy**: -0.60402 Ry per atom
**Magnetization**: 0.00 μB per formula unit

=====

Compound: Y2PtW
Source: Alexandria via LeMat-Bulk
Functional: PBE
Structure: optimized geometry

POSCAR file:
```
Y2PtW
1.0
1.686 0.974 9.046
-1.686 0.974 9.046
0.000 -1.947 9.046
Y Pt W
2 1 1
Direct
0.245 0.245 0.245
0.755 0.755 0.755
0.500 0.500 0.500
0.000 0.000 0.000
```

Summary:
**Fermi-level density of states**: 5.23 states/eV/cell
**Energy relative to the elements**: 0.152 eV/atom
**Energy above the lowest structure with this stoichiometry**: 34.0 kJ per mole of atoms
**SG**: R-3m
**Electronic total energy**: -0.57538 Ry per atom
**Magnetization**: 0.00 μB per formula unit

=====

Compound: Y2PtW
Source: Alexandria via LeMat-Bulk
Functional: PBE
Structure: optimized geometry

POSCAR file:
```
Y2PtW
1.0
-3.917 3.917 2.969
3.917 -3.917 2.969
3.917 3.917 -2.969
Y Pt W
4 2 2
Direct
0.102 0.625 0.977
0.375 0.352 0.477
0.648 0.125 0.023
0.875 0.898 0.523
0.000 0.000 0.000
0.750 0.250 0.500
0.250 0.750 0.500
0.500 0.500 0.000
```

Summary:
**Fermi-level density of states**: 11.08 states/eV/cell
**Energy relative to the elements**: 0.333 eV/atom
**Energy above the lowest structure with this stoichiometry**: 51.5 kJ per mole of atoms
**SG**: I-42d
**Electronic total energy**: -0.56210 Ry per atom
**Magnetization**: 0.00 μB per formula unit

=====

Compound: Y2PtW
Source: Alexandria via LeMat-Bulk
Functional: PBE
Structure: optimized geometry

POSCAR file:
```
Y2PtW
1.0
-1.721 2.426 5.252
1.721 -2.426 5.252
1.721 2.426 -5.252
Y Pt W
2 1 1
Direct
0.000 0.000 0.000
0.720 0.220 0.500
0.457 0.457 0.000
0.259 0.759 0.500
```

Summary:
**Fermi-level density of states**: 4.98 states/eV/cell
**Energy relative to the elements**: -0.086 eV/atom
**Energy above the lowest structure with this stoichiometry**: 11.1 kJ per mole of atoms
**SG**: Imm2
**Electronic total energy**: -0.59289 Ry per atom
**Magnetization**: 0.00 μB per formula unit

=====

Compound: YPtW2
Source: Alexandria via LeMat-Bulk
Functional: PBE
Structure: optimized geometry

POSCAR file:
```
YPtW2
1.0
2.765 -4.700 0.000
2.765 4.700 0.000
0.000 0.000 2.799
Y Pt W
1 1 2
Direct
0.000 0.000 0.000
0.500 0.500 0.000
0.000 0.500 0.500
0.500 0.000 0.500
```

Summary:
**Fermi-level density of states**: 3.79 states/eV/cell
**Energy relative to the elements**: 0.372 eV/atom
**Energy above the lowest structure with this stoichiometry**: 38.7 kJ per mole of atoms
**SG**: Cmmm
**Electronic total energy**: -0.67844 Ry per atom
**Magnetization**: 0.00 μB per formula unit

=====

Compound: YPt2W
Source: Alexandria via LeMat-Bulk
Functional: PBE
Structure: optimized geometry

POSCAR file:
```
YPt2W
1.0
2.973 0.000 0.000
0.000 4.668 0.000
-0.904 0.000 5.252
Y Pt W
1 2 1
Direct
0.000 0.000 0.000
0.548 0.500 0.150
0.602 0.000 0.492
0.237 0.500 0.605
```

Summary:
**Fermi-level density of states**: 2.17 states/eV/cell
**Energy relative to the elements**: -0.418 eV/atom
**Energy above the lowest structure with this stoichiometry**: 0.0 kJ per mole of atoms
**SG**: Pm
**Electronic total energy**: -0.60953 Ry per atom
**Magnetization**: 0.00 μB per formula unit

=====

Compound: YPt2W
Source: Alexandria via LeMat-Bulk
Functional: PBE
Structure: optimized geometry

POSCAR file:
```
YPt2W
1.0
0.000 3.294 3.294
3.294 0.000 3.294
3.294 3.294 0.000
Y Pt W
1 2 1
Direct
0.000 0.000 0.000
0.500 0.500 0.500
0.750 0.750 0.750
0.250 0.250 0.250
```

Summary:
**Fermi-level density of states**: 3.66 states/eV/cell
**Energy relative to the elements**: -0.032 eV/atom
**Energy above the lowest structure with this stoichiometry**: 37.2 kJ per mole of atoms
**SG**: F-43m
**Electronic total energy**: -0.58116 Ry per atom
**Magnetization**: 0.98 μB per formula unit

=====

Q: What is the electronic total energy in the seventh record?
A: -0.60953 Ry per atom